Below is a geometry-optimized SnPb4S5 structure, with properties calculated at the GGA-PBEsol level.

Total energy (eV per atom): -4.730
Fermi-level density of states (states/eV/f.u.): 0.12
Formation energy (no corrections) (eV per atom): -0.513
Crystal system: tetragonal

Structure (CIF):
```
data_SnPb4S5
_symmetry_space_group_name_H-M 'P 1'
_symmetry_Int_Tables_number 1
_symmetry_space_group_name_Hall 'P 1'
_cell_length_a 4.142
_cell_length_b 4.142
_cell_length_c 14.932
_cell_angle_alpha 97.97
_cell_angle_beta 97.97
_cell_angle_gamma 90.00
loop_
_atom_site_label
_atom_site_fract_x
_atom_site_fract_y
_atom_site_fract_z
Sn1 0.000 0.000 0.000
Pb1 0.599 0.599 0.199
Pb2 0.200 0.200 0.399
Pb3 0.800 0.800 0.601
Pb4 0.401 0.401 0.801
S1 0.500 0.500 0.000
S2 0.300 0.300 0.599
S3 0.902 0.902 0.804
S4 0.098 0.098 0.196
S5 0.700 0.700 0.401
```

Below is a geometry-optimized TcIr2Rh structure, with properties calculated at the GGA-PBEsol level.

Total energy (eV per atom): -9.873
ΔE_f (kJ/mol of formula units): -42
Fermi-level density of states (states/eV/f.u.): 4.14
Crystal system: trigonal

Structure (CIF):
```
data_TcIr2Rh
_symmetry_space_group_name_H-M 'P 1'
_symmetry_Int_Tables_number 1
_symmetry_space_group_name_Hall 'P 1'
_cell_length_a 2.694
_cell_length_b 2.694
_cell_length_c 8.952
_cell_angle_alpha 81.35
_cell_angle_beta 81.35
_cell_angle_gamma 60.00
loop_
_atom_site_label
_atom_site_fract_x
_atom_site_fract_y
_atom_site_fract_z
Ir1 0.251 0.251 0.246
Ir2 0.749 0.749 0.754
Rh1 0.500 0.500 0.500
Tc1 0.000 0.000 0.000
```

Below is a geometry-optimized TcTePb2 structure, with properties calculated at the GGA-PBEsol level.

Total energy (eV per atom): -5.228
Fermi-level density of states (states/eV/f.u.): 4.19
Formation energy (no corrections) (eV per atom): 0.470
Crystal system: tetragonal

Structure (CIF):
```
data_TcTePb2
_symmetry_space_group_name_H-M 'P 1'
_symmetry_Int_Tables_number 1
_symmetry_space_group_name_Hall 'P 1'
_cell_length_a 3.292
_cell_length_b 3.292
_cell_length_c 8.726
_cell_angle_alpha 90.00
_cell_angle_beta 90.00
_cell_angle_gamma 89.98
loop_
_atom_site_label
_atom_site_fract_x
_atom_site_fract_y
_atom_site_fract_z
Pb1 0.000 0.000 0.306
Pb2 0.000 0.000 0.694
Tc1 0.500 0.500 0.500
Te1 0.500 0.500 0.000
```

Below is a geometry-optimized ScCo2Ir structure, with properties calculated at the GGA-PBEsol level.

Total energy (eV per atom): -7.847
ΔE_f (kJ/mol of formula units): 50
Fermi-level density of states (states/eV/f.u.): 4.65
Crystal system: trigonal

Structure (CIF):
```
data_ScCo2Ir
_symmetry_space_group_name_H-M 'P 1'
_symmetry_Int_Tables_number 1
_symmetry_space_group_name_Hall 'P 1'
_cell_length_a 2.751
_cell_length_b 2.751
_cell_length_c 8.428
_cell_angle_alpha 80.61
_cell_angle_beta 80.61
_cell_angle_gamma 60.00
loop_
_atom_site_label
_atom_site_fract_x
_atom_site_fract_y
_atom_site_fract_z
Co1 0.006 0.006 0.982
Co2 0.745 0.745 0.764
Ir1 0.495 0.495 0.514
Sc1 0.253 0.253 0.240
```

Below is a geometry-optimized UBRh3 structure, with properties calculated at the GGA-PBEsol level.

Total energy (eV per atom): -9.184
ΔE_f (kJ/mol of formula units): -225
Fermi-level density of states (states/eV/f.u.): 6.39
Crystal system: cubic

Structure (CIF):
```
data_UBRh3
_symmetry_space_group_name_H-M 'P 1'
_symmetry_Int_Tables_number 1
_symmetry_space_group_name_Hall 'P 1'
_cell_length_a 4.165
_cell_length_b 4.165
_cell_length_c 4.165
_cell_angle_alpha 90.00
_cell_angle_beta 90.00
_cell_angle_gamma 90.00
loop_
_atom_site_label
_atom_site_fract_x
_atom_site_fract_y
_atom_site_fract_z
Rh1 0.000 0.500 0.500
Rh2 0.500 0.000 0.500
Rh3 0.500 0.500 0.000
B1 0.500 0.500 0.500
U1 0.000 0.000 0.000
```

Below is a geometry-optimized KCaFe structure, with properties calculated at the GGA-PBEsol level.

Total energy (eV per atom): -2.615
ΔE_f (kJ/mol of formula units): 423
Fermi-level density of states (states/eV/f.u.): 3.45
Crystal system: cubic

Structure (CIF):
```
data_KCaFe
_symmetry_space_group_name_H-M 'P 1'
_symmetry_Int_Tables_number 1
_symmetry_space_group_name_Hall 'P 1'
_cell_length_a 5.197
_cell_length_b 5.197
_cell_length_c 5.197
_cell_angle_alpha 60.00
_cell_angle_beta 60.00
_cell_angle_gamma 60.00
loop_
_atom_site_label
_atom_site_fract_x
_atom_site_fract_y
_atom_site_fract_z
Ca1 0.000 0.000 0.000
Fe1 0.500 0.500 0.500
K1 0.250 0.250 0.250
```

Below is a geometry-optimized NbOsPb3 structure, with properties calculated at the GGA-PBEsol level.

Total energy (eV per atom): -5.670
ΔE_f (kJ/mol of formula units): 645
Fermi-level density of states (states/eV/f.u.): 8.06
Crystal system: cubic

Structure (CIF):
```
data_NbOsPb3
_symmetry_space_group_name_H-M 'P 1'
_symmetry_Int_Tables_number 1
_symmetry_space_group_name_Hall 'P 1'
_cell_length_a 5.196
_cell_length_b 5.196
_cell_length_c 5.196
_cell_angle_alpha 90.00
_cell_angle_beta 90.00
_cell_angle_gamma 90.00
loop_
_atom_site_label
_atom_site_fract_x
_atom_site_fract_y
_atom_site_fract_z
Pb1 0.000 0.500 0.000
Pb2 0.000 0.000 0.500
Pb3 0.500 0.000 0.000
Nb1 0.500 0.500 0.500
Os1 0.000 0.000 0.000
```

Below is a geometry-optimized ScSiPb2 structure, with properties calculated at the GGA-PBEsol level.

Total energy (eV per atom): -5.114
Fermi-level density of states (states/eV/f.u.): 2.44
Formation energy (no corrections) (eV per atom): -0.026
Crystal system: tetragonal

Structure (CIF):
```
data_ScSiPb2
_symmetry_space_group_name_H-M 'P 1'
_symmetry_Int_Tables_number 1
_symmetry_space_group_name_Hall 'P 1'
_cell_length_a 4.545
_cell_length_b 4.545
_cell_length_c 4.425
_cell_angle_alpha 90.00
_cell_angle_beta 90.00
_cell_angle_gamma 90.00
loop_
_atom_site_label
_atom_site_fract_x
_atom_site_fract_y
_atom_site_fract_z
Pb1 0.000 0.500 0.000
Pb2 0.500 0.000 0.000
Sc1 0.500 0.500 0.500
Si1 0.000 0.000 0.500
```

Below is a geometry-optimized NaZrNb2Fe structure, with properties calculated at the GGA-PBEsol level.

Total energy (eV per atom): -5.946
ΔE_f (kJ/mol of formula units): 1097
Fermi-level density of states (states/eV/f.u.): 8.98
Crystal system: tetragonal

Structure (CIF):
```
data_NaZrNb2Fe
_symmetry_space_group_name_H-M 'P 1'
_symmetry_Int_Tables_number 1
_symmetry_space_group_name_Hall 'P 1'
_cell_length_a 4.613
_cell_length_b 4.613
_cell_length_c 4.784
_cell_angle_alpha 90.00
_cell_angle_beta 90.00
_cell_angle_gamma 90.00
loop_
_atom_site_label
_atom_site_fract_x
_atom_site_fract_y
_atom_site_fract_z
Na1 0.000 0.000 0.000
Nb1 0.000 0.500 0.000
Nb2 0.500 0.000 0.000
Fe1 0.500 0.500 0.500
Zr1 0.000 0.000 0.500
```

Below is a geometry-optimized Ag2Se structure, with properties calculated at the GGA-PBEsol level.

Total energy (eV per atom): -3.463
Fermi-level density of states (states/eV/f.u.): 0.24
Formation energy (no corrections) (eV per atom): 0.028
Crystal system: hexagonal

Structure (CIF):
```
data_Ag2Se
_symmetry_space_group_name_H-M 'P 1'
_symmetry_Int_Tables_number 1
_symmetry_space_group_name_Hall 'P 1'
_cell_length_a 3.914
_cell_length_b 7.113
_cell_length_c 7.113
_cell_angle_alpha 120.00
_cell_angle_beta 90.00
_cell_angle_gamma 90.00
loop_
_atom_site_label
_atom_site_fract_x
_atom_site_fract_y
_atom_site_fract_z
Ag1 0.000 0.735 0.735
Ag2 0.000 0.000 0.265
Ag3 0.000 0.265 0.000
Ag4 0.500 0.403 0.403
Ag5 0.500 0.000 0.597
Ag6 0.500 0.597 0.000
Se1 0.000 0.667 0.333
Se2 0.000 0.333 0.667
Se3 0.500 0.000 0.000
```

Below is a geometry-optimized Al4Ag3 structure, with properties calculated at the GGA-PBEsol level.

Total energy (eV per atom): -3.807
ΔE_f (kJ/mol of formula units): -34
Fermi-level density of states (states/eV/f.u.): 2.36
Crystal system: trigonal

Structure (CIF):
```
data_Al4Ag3
_symmetry_space_group_name_H-M 'P 1'
_symmetry_Int_Tables_number 1
_symmetry_space_group_name_Hall 'P 1'
_cell_length_a 2.909
_cell_length_b 2.909
_cell_length_c 15.604
_cell_angle_alpha 84.65
_cell_angle_beta 84.65
_cell_angle_gamma 60.00
loop_
_atom_site_label
_atom_site_fract_x
_atom_site_fract_y
_atom_site_fract_z
Al1 0.429 0.429 0.714
Al2 0.857 0.857 0.429
Al3 0.571 0.571 0.286
Al4 0.286 0.286 0.143
Ag1 0.999 0.999 0.004
Ag2 0.716 0.716 0.852
Ag3 0.143 0.143 0.571
```

Below is a geometry-optimized ZrSi structure, with properties calculated at the GGA-PBEsol level.

Total energy (eV per atom): -8.440
Fermi-level density of states (states/eV/f.u.): 0.46
Formation energy (no corrections) (eV per atom): -1.022
Crystal system: orthorhombic

Structure (CIF):
```
data_ZrSi
_symmetry_space_group_name_H-M 'P 1'
_symmetry_Int_Tables_number 1
_symmetry_space_group_name_Hall 'P 1'
_cell_length_a 3.735
_cell_length_b 3.733
_cell_length_c 5.279
_cell_angle_alpha 69.29
_cell_angle_beta 90.00
_cell_angle_gamma 90.00
loop_
_atom_site_label
_atom_site_fract_x
_atom_site_fract_y
_atom_site_fract_z
Si1 0.750 0.921 0.158
Si2 0.250 0.079 0.842
Zr1 0.750 0.645 0.709
Zr2 0.250 0.355 0.291
```